First-principles (PBE) data for crystalline NaCeAgHg at its relaxed geometry, as listed in the Alexandria database. Values from VASP.

The structure in Quantum ESPRESSO input format:
```
&SYSTEM
  ibrav = 0, nat = 4, ntyp = 4
/
ATOMIC_SPECIES
Na 22.99 Na.upf
Ce 140.12 Ce.upf
Ag 107.87 Ag.upf
Hg 200.59 Hg.upf
CELL_PARAMETERS angstrom
0.0000 3.7042 3.7042
3.7042 0.0000 3.7042
3.7042 3.7042 0.0000
ATOMIC_POSITIONS crystal
Na 0.0000 0.0000 0.0000
Ce 0.5000 0.5000 0.5000
Ag 0.2500 0.2500 0.2500
Hg 0.7500 0.7500 0.7500
```

Computed properties:
raw total energy	-2.734	eV/atom
space-group type	F-43m (216)